## i
Entry from the Alexandria database: Hf2NpRu after structural relaxation (PBE).

total magnetic moment	3.10	Bohr magnetons per cell
volume	76.69	Å³ per cell
calculated density	15051	kg/m³

Cell lengths 4.7688, 4.7688, 4.7688 Å; angles 60.00, 60.00, 60.00 degrees
Fractional coordinates of all 4 atoms:
Hf1 0.2500 0.2500 0.2500
Hf2 0.7500 0.7500 0.7500
Np1 0.0000 0.0000 0.0000
Ru1 0.5000 0.5000 0.5000


## ii
Entry from the Alexandria database: Hf2NpRu after structural relaxation (PBE).

total magnetic moment	3.97	Bohr magnetons per cell
volume	79.51	Å³ per cell
calculated density	14517	kg/m³

Cell lengths 3.1944, 3.1944, 7.7915 Å; angles 90.00, 90.00, 90.00 degrees
Fractional coordinates of all 4 atoms:
Hf1 0.0000 0.0000 0.2107
Hf2 0.0000 0.0000 0.7893
Np1 0.5000 0.5000 0.5000
Ru1 0.5000 0.5000 0.0000


Which of them is least stable? Easy: i.


## i
Entry from the Alexandria database: HfNpS4 after structural relaxation (PBE).

total magnetic moment	3.00	Bohr magnetons per cell
volume	165.81	Å³ per cell
calculated density	5445	kg/m³

Cell lengths 6.9249, 6.9249, 6.6140 Å; angles 98.70, 98.70, 31.96 degrees
Fractional coordinates of all 6 atoms:
Hf1 0.0000 0.0000 0.0000
Np1 0.5000 0.5000 0.5000
S1 0.1080 0.1080 0.3524
S2 0.3934 0.3934 0.1215
S3 0.6066 0.6066 0.8785
S4 0.8920 0.8920 0.6476


## ii
Entry from the Alexandria database: HfNpS4 after structural relaxation (PBE).

total magnetic moment	3.00	Bohr magnetons per cell
volume	149.52	Å³ per cell
calculated density	6039	kg/m³

Cell lengths 6.1886, 6.1886, 3.9040 Å; angles 90.00, 90.00, 90.35 degrees
Fractional coordinates of all 6 atoms:
Hf1 0.0000 0.0000 0.0000
Np1 0.5000 0.5000 0.5000
S1 0.1883 0.8117 0.5000
S2 0.2949 0.2949 0.0000
S3 0.7051 0.7051 0.0000
S4 0.8117 0.1883 0.5000


Which of them is least stable? Easy: ii.